Here is a PBEsol-optimized structure of LaTc3Sn from Alexandria. Energies are from SCAN.

Summary:
- DOS(E_F): 0.818 states/eV per atom
- E_tot: -173.93 eV for the cell shown
- Energy relative to the elements: 198 kJ per mole of atoms

Unit cell a=4.7676 b=4.7676 c=4.7676 alpha=90.00 beta=90.00 gamma=90.00
Last column: nearest neighbours and their distance in Å.
Space group Pm-3m (No. 221)
Asymmetric unit:
La: 0.0000 0.0000 0.0000 [1 per cell]  6 Tc 2.38
Tc: 0.0000 0.0000 0.5000 [3 per cell]  2 La 2.38
Sn: 0.5000 0.5000 0.5000 [1 per cell]  12 Tc 3.37